The following is a DFT calculation (PBE) of a geometry-optimized USb2Au structure.

CIF file:
```
data_USb2Au
_chemical_formula_sum 'U1 Sb2 Au1'
_cell_length_a 4.793
_cell_length_b 4.793
_cell_length_c 4.039
_cell_angle_alpha 90.00
_cell_angle_beta 90.00
_cell_angle_gamma 90.00
_symmetry_space_group_name_H-M 'P 4/m m m'
_symmetry_Int_Tables_number 123
_symmetry_space_group_name_Hall '-P 4 2'
loop_
_atom_site_label
_atom_site_fract_x
_atom_site_fract_y
_atom_site_fract_z
U1 0.000 0.000 0.000
Sb1 0.000 0.500 0.500
Au1 0.500 0.500 0.000
```

## Properties
- Size of the total moment: 1.67 μB per formula unit
- Energy relative to the elements, uncorrected: -0.28 eV per atom
- ΔE to the lowest computed polymorph: 0 meV/atom
- E: -5.9800 eV per atom

The following is a DFT calculation (PBE) of a geometry-optimized USbAu structure.

CIF file:
```
data_USbAu
_chemical_formula_sum 'U1 Sb1 Au1'
_cell_length_a 5.0633
_cell_length_b 5.0633
_cell_length_c 3.0798
_cell_angle_alpha 90.00
_cell_angle_beta 90.00
_cell_angle_gamma 120.00
_symmetry_space_group_name_H-M 'P 3 m 1'
_symmetry_Int_Tables_number 156
loop_
_symmetry_equiv_pos_as_xyz
'x,y,z'
'-y,x-y,z'
'-x+y,-x,z'
'-y,-x,z'
'-x+y,y,z'
'x,x-y,z'
loop_
_atom_site_label
_atom_site_fract_x
_atom_site_fract_y
_atom_site_fract_z
U1 0.0000 0.0000 0.0000
Sb1 0.3333 0.6667 0.4994
Au1 0.6667 0.3333 0.5016
```

## Properties
- Size of the total moment: 2.90 μB per formula unit
- Energy relative to the elements, uncorrected: -0.14 eV per atom
- E: -6.3698 eV per atom

The following is a DFT calculation (PBE) of a geometry-optimized USb2Au structure.

CIF file:
```
data_USb2Au
_chemical_formula_sum 'U3 Sb6 Au3'
_cell_length_a 3.3046
_cell_length_b 3.3046
_cell_length_c 32.2155
_cell_angle_alpha 90.00
_cell_angle_beta 90.00
_cell_angle_gamma 120.00
_symmetry_space_group_name_H-M 'R -3 m'
_symmetry_Int_Tables_number 166
_symmetry_space_group_name_Hall '-R 3 2"'
loop_
_atom_site_label
_atom_site_fract_x
_atom_site_fract_y
_atom_site_fract_z
U1 0.0000 0.0000 0.0000
Sb1 0.0000 0.0000 0.0975
Au1 0.0000 0.0000 0.5000
```

## Properties
- Size of the total moment: 3.21 μB per formula unit
- Energy relative to the elements, uncorrected: 0.39 eV per atom
- ΔE to the lowest computed polymorph: 665 meV/atom
- E: -5.3151 eV per atom

The following is a DFT calculation (PBE) of a geometry-optimized UZnSbAu structure.

CIF file:
```
data_UZnSbAu
_chemical_formula_sum 'U4 Zn4 Sb4 Au4'
_cell_length_a 7.078
_cell_length_b 7.078
_cell_length_c 7.078
_cell_angle_alpha 90.00
_cell_angle_beta 90.00
_cell_angle_gamma 90.00
_symmetry_space_group_name_H-M 'F -4 3 m'
_symmetry_Int_Tables_number 216
_symmetry_space_group_name_Hall 'F -4 2 3'
loop_
_atom_site_label
_atom_site_fract_x
_atom_site_fract_y
_atom_site_fract_z
U1 0.000 0.000 0.000
Zn1 0.000 0.000 0.500
Sb1 0.250 0.250 0.750
Au1 0.250 0.250 0.250
```

## Properties
- Size of the total moment: 2.71 μB per formula unit
- Energy relative to the elements, uncorrected: -0.06 eV per atom
- E: -5.0493 eV per atom

The following is a DFT calculation (PBE) of a geometry-optimized VSbAu3 structure.

CIF file:
```
data_VSbAu3
_chemical_formula_sum 'V1 Sb1 Au3'
_cell_length_a 5.170
_cell_length_b 5.170
_cell_length_c 5.170
_cell_angle_alpha 90.00
_cell_angle_beta 90.00
_cell_angle_gamma 90.00
_symmetry_space_group_name_H-M 'P m -3 m'
_symmetry_Int_Tables_number 221
_symmetry_space_group_name_Hall '-P 4 2 3'
loop_
_atom_site_label
_atom_site_fract_x
_atom_site_fract_y
_atom_site_fract_z
V1 0.000 0.000 0.000
Sb1 0.500 0.500 0.500
Au1 0.000 0.500 0.500
```

## Properties
- Size of the total moment: 3.83 μB per formula unit
- Energy relative to the elements, uncorrected: 0.85 eV per atom
- ΔE to the lowest computed polymorph: 57 meV/atom
- E: -3.7619 eV per atom

The following is a DFT calculation (PBE) of a geometry-optimized VSbAu structure.

CIF file:
```
data_VSbAu
_chemical_formula_sum 'V1 Sb1 Au1'
_cell_length_a 4.3877
_cell_length_b 4.3877
_cell_length_c 3.5997
_cell_angle_alpha 90.00
_cell_angle_beta 90.00
_cell_angle_gamma 120.00
_symmetry_space_group_name_H-M 'P 3 m 1'
_symmetry_Int_Tables_number 156
loop_
_symmetry_equiv_pos_as_xyz
'x,y,z'
'-y,x-y,z'
'-x+y,-x,z'
'-y,-x,z'
'-x+y,y,z'
'x,x-y,z'
loop_
_atom_site_label
_atom_site_fract_x
_atom_site_fract_y
_atom_site_fract_z
V1 0.0000 0.0000 0.0000
Sb1 0.3333 0.6667 0.6947
Au1 0.6667 0.3333 0.3469
```

## Properties
- Size of the total moment: 2.25 μB per formula unit
- Energy relative to the elements, uncorrected: 0.23 eV per atom
- E: -5.2712 eV per atom

The following is a DFT calculation (PBE) of a geometry-optimized V2Sb2Au structure.

CIF file:
```
data_V2Sb2Au
_chemical_formula_sum 'V4 Sb4 Au2'
_cell_length_a 7.264
_cell_length_b 7.264
_cell_length_c 3.553
_cell_angle_alpha 90.00
_cell_angle_beta 90.00
_cell_angle_gamma 90.00
_symmetry_space_group_name_H-M 'P 4/m b m'
_symmetry_Int_Tables_number 127
_symmetry_space_group_name_Hall '-P 4 2ab'
loop_
_atom_site_label
_atom_site_fract_x
_atom_site_fract_y
_atom_site_fract_z
V1 0.130 0.370 0.000
Sb1 0.162 0.662 0.500
Au1 0.000 0.000 0.000
```

## Properties
- Size of the total moment: 0.96 μB per formula unit
- Energy relative to the elements, uncorrected: 0.03 eV per atom
- E: -5.9186 eV per atom

The following is a DFT calculation (PBE) of a geometry-optimized V3SbAu structure.

CIF file:
```
data_V3SbAu
_chemical_formula_sum 'V3 Sb1 Au1'
_cell_length_a 4.856
_cell_length_b 4.856
_cell_length_c 4.856
_cell_angle_alpha 90.00
_cell_angle_beta 90.00
_cell_angle_gamma 90.00
_symmetry_space_group_name_H-M 'P m -3 m'
_symmetry_Int_Tables_number 221
_symmetry_space_group_name_Hall '-P 4 2 3'
loop_
_atom_site_label
_atom_site_fract_x
_atom_site_fract_y
_atom_site_fract_z
V1 0.000 0.000 0.500
Sb1 0.500 0.500 0.500
Au1 0.000 0.000 0.000
```

## Properties
- Size of the total moment: 6.17 μB per formula unit
- Energy relative to the elements, uncorrected: 1.14 eV per atom
- ΔE to the lowest computed polymorph: 0 meV/atom
- E: -5.8116 eV per atom

The following is a DFT calculation (PBE) of a geometry-optimized VSbAu structure.

CIF file:
```
data_VSbAu
_chemical_formula_sum 'V8 Sb8 Au8'
_cell_length_a 5.607
_cell_length_b 11.289
_cell_length_c 7.361
_cell_angle_alpha 90.00
_cell_angle_beta 90.00
_cell_angle_gamma 90.00
_symmetry_space_group_name_H-M 'C m c e'
_symmetry_Int_Tables_number 64
_symmetry_space_group_name_Hall '-C 2ac 2'
loop_
_atom_site_label
_atom_site_fract_x
_atom_site_fract_y
_atom_site_fract_z
V1 0.000 0.090 0.090
Sb1 0.000 0.183 0.434
Au1 0.250 0.089 0.750
```

## Properties
- Size of the total moment: 0.00 μB per formula unit
- Energy relative to the elements, uncorrected: 0.11 eV per atom
- E: -5.4001 eV per atom

The following is a DFT calculation (PBE) of a geometry-optimized VSbAu2 structure.

CIF file:
```
data_VSbAu2
_chemical_formula_sum 'V3 Sb3 Au6'
_cell_length_a 2.9607
_cell_length_b 2.9607
_cell_length_c 32.0948
_cell_angle_alpha 90.00
_cell_angle_beta 90.00
_cell_angle_gamma 120.00
_symmetry_space_group_name_H-M 'R -3 m'
_symmetry_Int_Tables_number 166
_symmetry_space_group_name_Hall '-R 3 2"'
loop_
_atom_site_label
_atom_site_fract_x
_atom_site_fract_y
_atom_site_fract_z
V1 0.0000 0.0000 0.0000
Sb1 0.0000 0.0000 0.5000
Au1 0.0000 0.0000 0.0802
```

## Properties
- Size of the total moment: 1.26 μB per formula unit
- Energy relative to the elements, uncorrected: 0.56 eV per atom
- E: -4.3932 eV per atom

The following is a DFT calculation (PBE) of a geometry-optimized VSbAu2 structure.

CIF file:
```
data_VSbAu2
_chemical_formula_sum 'V4 Sb4 Au8'
_cell_length_a 7.718
_cell_length_b 7.718
_cell_length_c 5.474
_cell_angle_alpha 90.00
_cell_angle_beta 90.00
_cell_angle_gamma 90.00
_symmetry_space_group_name_H-M 'I -4 2 d'
_symmetry_Int_Tables_number 122
_symmetry_space_group_name_Hall 'I -4 2bw'
loop_
_atom_site_label
_atom_site_fract_x
_atom_site_fract_y
_atom_site_fract_z
V1 0.000 0.000 0.000
Sb1 0.000 0.000 0.500
Au1 0.240 0.250 0.125
```

## Properties
- Size of the total moment: 2.28 μB per formula unit
- Energy relative to the elements, uncorrected: 0.20 eV per atom
- E: -4.7501 eV per atom

The following is a DFT calculation (PBE) of a geometry-optimized VSbAu3 structure.

CIF file:
```
data_VSbAu3
_chemical_formula_sum 'V1 Sb1 Au3'
_cell_length_a 4.944
_cell_length_b 4.944
_cell_length_c 4.944
_cell_angle_alpha 90.00
_cell_angle_beta 90.00
_cell_angle_gamma 90.00
_symmetry_space_group_name_H-M 'P m -3 m'
_symmetry_Int_Tables_number 221
_symmetry_space_group_name_Hall '-P 4 2 3'
loop_
_atom_site_label
_atom_site_fract_x
_atom_site_fract_y
_atom_site_fract_z
V1 0.000 0.000 0.000
Sb1 0.500 0.500 0.500
Au1 0.000 0.000 0.500
```

## Properties
- Size of the total moment: 2.66 μB per formula unit
- Energy relative to the elements, uncorrected: 0.80 eV per atom
- ΔE to the lowest computed polymorph: 0 meV/atom
- E: -3.8194 eV per atom

The following is a DFT calculation (PBE) of a geometry-optimized V2SbAu2 structure.

CIF file:
```
data_V2SbAu2
_chemical_formula_sum 'V4 Sb2 Au4'
_cell_length_a 6.672
_cell_length_b 6.672
_cell_length_c 4.091
_cell_angle_alpha 90.00
_cell_angle_beta 90.00
_cell_angle_gamma 90.00
_symmetry_space_group_name_H-M 'P 4/m b m'
_symmetry_Int_Tables_number 127
_symmetry_space_group_name_Hall '-P 4 2ab'
loop_
_atom_site_label
_atom_site_fract_x
_atom_site_fract_y
_atom_site_fract_z
V1 0.121 0.379 0.000
Sb1 0.000 0.000 0.000
Au1 0.156 0.656 0.500
```

## Properties
- Size of the total moment: 0.00 μB per formula unit
- Energy relative to the elements, uncorrected: 0.12 eV per atom
- E: -5.6628 eV per atom

The following is a DFT calculation (PBE) of a geometry-optimized VSbAu structure.

CIF file:
```
data_VSbAu
_chemical_formula_sum 'V2 Sb2 Au2'
_cell_length_a 2.914
_cell_length_b 2.914
_cell_length_c 14.777
_cell_angle_alpha 90.00
_cell_angle_beta 90.00
_cell_angle_gamma 90.00
_symmetry_space_group_name_H-M 'I 4 m m'
_symmetry_Int_Tables_number 107
_symmetry_space_group_name_Hall 'I 4 -2'
loop_
_atom_site_label
_atom_site_fract_x
_atom_site_fract_y
_atom_site_fract_z
V1 0.000 0.000 0.000
Sb1 0.000 0.000 0.367
Au1 0.000 0.000 0.172
```

## Properties
- Size of the total moment: 0.00 μB per formula unit
- Energy relative to the elements, uncorrected: 0.44 eV per atom
- E: -5.0684 eV per atom